[1]
DFT (meta-GGA SCAN) results for BaLa2ZnO5 at its PBEsol-relaxed geometry.

Computed properties:
The value obtained for the uncorrected formation energy is -3.10 eV/atom. The crystal system is tetragonal.

Lattice parameters (Å, degrees): 6.8427 6.8427 11.5472 90.00 90.00 90.00
Closest atoms and distances in Å follow each position.
Space group I4/mcm (No. 140)
Symmetry-distinct sites (fractional):
1 Ba 0.0000 0.0000 0.2500 [4 per cell]  10 O 2.89-2.95
2 La 0.1740 0.3260 0.0000 [8 per cell]  4 O 2.32-2.53
3 Zn 0.0000 0.5000 0.2500 [4 per cell]  4 O 1.96
4 O 0.0000 0.0000 0.0000 [4 per cell]  4 La 2.53
5 O 0.1461 0.3539 0.3670 [16 per cell]  1 Zn 1.96



[2]
DFT (meta-GGA SCAN) results for Br2Cl at its PBEsol-relaxed geometry.

Computed properties:
The value obtained for the uncorrected formation energy is 0.09 eV/atom. The crystal system is orthorhombic. Its energy relative to the lowest polymorph listed for this composition is 0.000 eV per atom.

Lattice parameters (Å, degrees): 4.0105 21.1752 4.6971 90.00 90.00 90.00
Closest atoms and distances in Å follow each position.
Space group Cmcm (No. 63)
Symmetry-distinct sites (fractional):
1 Br 0.0000 0.0190 0.2500 [4 per cell]  2 Br 2.48
2 Br 0.0000 0.3465 0.2500 [4 per cell]  2 Cl 2.42
3 Cl 0.0000 0.3198 0.7500 [4 per cell]  2 Br 2.42



[3]
DFT (meta-GGA SCAN) results for Co2MoOs at its PBEsol-relaxed geometry.

Computed properties:
The formation energy comes out at 0.11 eV/atom. The crystal system is orthorhombic. Its energy relative to the lowest polymorph listed for this composition is 0.000 eV per atom.

Lattice parameters (Å, degrees): 2.5998 4.1507 4.5069 90.00 90.00 90.00
Closest atoms and distances in Å follow each position.
Space group Pmm2 (No. 25)
Symmetry-distinct sites (fractional):
1 Co 0.0000 0.0000 0.0000 [1 per cell]  4 Os 2.50-2.71, 4 Co 2.52-2.60, 4 Mo 2.57
2 Co 0.0000 0.5000 0.3164 [1 per cell]  4 Co 2.52-2.60, 4 Os 2.55, 4 Mo 2.56-2.64
3 Mo 0.5000 0.5000 0.8264 [1 per cell]  8 Co 2.56-2.64, 2 Mo 2.60, 2 Os 2.61
4 Os 0.5000 0.0000 0.4735 [1 per cell]  8 Co 2.50-2.71, 2 Os 2.60, 2 Mo 2.61



[4]
DFT (meta-GGA SCAN) results for Ho2V2O7 at its PBEsol-relaxed geometry.

Computed properties:
The value obtained for the uncorrected formation energy is -3.26 eV/atom. The crystal system is monoclinic. Its energy relative to the lowest polymorph listed for this composition is 0.029 eV per atom.

Lattice parameters (Å, degrees): 6.5373 9.3625 5.1281 90.00 100.49 90.00
Closest atoms and distances in Å follow each position.
Space group C2/m (No. 12)
Symmetry-distinct sites (fractional):
1 Ho 0.0000 0.1875 0.0000 [4 per cell]  6 O 2.18-2.26
2 V 0.2454 0.5000 0.3998 [4 per cell]  4 O 1.77-1.83
3 O 0.0000 0.5000 0.5000 [2 per cell]  2 V 1.77
4 O 0.0774 0.0000 0.2787 [4 per cell]  1 V 1.83
5 O 0.2274 0.3383 0.2084 [8 per cell]  1 V 1.80



[5]
DFT (meta-GGA SCAN) results for CaLa2GePb at its PBEsol-relaxed geometry.

Computed properties:
The formation energy comes out at 0.00 eV/atom. The crystal system is tetragonal.

Lattice parameters (Å, degrees): 5.9834 5.9834 5.6301 90.00 90.00 90.00
Closest atoms and distances in Å follow each position.
Space group P4/mmm (No. 123)
Symmetry-distinct sites (fractional):
1 Ca 0.0000 0.0000 0.0000 [1 per cell]  2 Pb 2.82
2 La 0.0000 0.5000 0.5000 [2 per cell]  2 Pb 2.99
3 Ge 0.5000 0.5000 0.0000 [1 per cell]  8 La 4.11, 4 Ca 4.23
4 Pb 0.0000 0.0000 0.5000 [1 per cell]  2 Ca 2.82, 4 La 2.99



[6]
DFT (meta-GGA SCAN) results for K2CdAg at its PBEsol-relaxed geometry.

Computed properties:
The formation energy comes out at 0.08 eV/atom. The crystal system is tetragonal. Its energy relative to the lowest polymorph listed for this composition is 0.108 eV per atom.

Lattice parameters (Å, degrees): 5.6740 5.6740 8.3071 90.00 90.00 90.00
Closest atoms and distances in Å follow each position.
Space group I4/mmm (No. 139)
Symmetry-distinct sites (fractional):
1 K 0.0000 0.5000 0.2500 [4 per cell]  4 Cd 3.52, 4 Ag 3.52
2 Cd 0.0000 0.0000 0.0000 [2 per cell]  8 K 3.52
3 Ag 0.0000 0.0000 0.5000 [2 per cell]  8 K 3.52



[7]
DFT (meta-GGA SCAN) results for TeRu2Se at its PBEsol-relaxed geometry.

Computed properties:
The value obtained for the uncorrected formation energy is 0.60 eV/atom. The crystal system is orthorhombic. Its energy relative to the lowest polymorph listed for this composition is 0.518 eV per atom.

Lattice parameters (Å, degrees): 5.6325 6.0890 8.3019 90.00 90.00 90.00
Closest atoms and distances in Å follow each position.
Space group Fmmm (No. 69)
Symmetry-distinct sites (fractional):
1 Te 0.0000 0.0000 0.0000 [4 per cell]  4 Ru 2.57, 2 Se 2.82
2 Ru 0.0000 0.2500 0.2500 [8 per cell]  2 Te 2.57, 2 Se 2.57, 2 Ru 2.82
3 Se 0.0000 0.0000 0.5000 [4 per cell]  4 Ru 2.57, 2 Te 2.82



[8]
DFT (meta-GGA SCAN) results for Te2PtI at its PBEsol-relaxed geometry.

Computed properties:
The value obtained for the uncorrected formation energy is -0.41 eV/atom. The crystal system is monoclinic.

Lattice parameters (Å, degrees): 7.0046 4.0434 8.0199 90.00 107.27 90.00
Closest atoms and distances in Å follow each position.
Space group C2/m (No. 12)
Symmetry-distinct sites (fractional):
1 Te 0.2260 0.0000 0.1732 [4 per cell]  3 Pt 2.68-2.69
2 Pt 0.0000 0.5000 0.0000 [2 per cell]  6 Te 2.68-2.69
3 I 0.0000 0.0000 0.5000 [2 per cell]  6 Te 3.41-3.44



[9]
DFT (meta-GGA SCAN) results for Sc2MnBW at its PBEsol-relaxed geometry.

Computed properties:
The formation energy comes out at 1.50 eV/atom. The crystal system is tetragonal.

Lattice parameters (Å, degrees): 4.9989 4.9989 4.3626 90.00 90.00 90.00
Closest atoms and distances in Å follow each position.
Space group P4/mmm (No. 123)
Symmetry-distinct sites (fractional):
1 Sc 0.0000 0.5000 0.0000 [2 per cell]  2 W 2.50
2 Mn 0.0000 0.0000 0.5000 [1 per cell]  2 W 2.18
3 B 0.5000 0.5000 0.5000 [1 per cell]  8 Sc 3.32, 4 Mn 3.53
4 W 0.0000 0.0000 0.0000 [1 per cell]  2 Mn 2.18



[10]
DFT (meta-GGA SCAN) results for MgAl2Cd at its PBEsol-relaxed geometry.

Computed properties:
The formation energy comes out at 0.12 eV/atom. The crystal system is tetragonal.

Lattice parameters (Å, degrees): 3.7346 3.7346 5.6470 90.00 90.00 90.00
Closest atoms and distances in Å follow each position.
Space group P4/mmm (No. 123)
Symmetry-distinct sites (fractional):
1 Mg 0.0000 0.0000 0.0000 [1 per cell]  2 Cd 2.82, 8 Al 3.00
2 Al 0.5000 0.5000 0.2527 [2 per cell]  2 Al 2.79-2.85, 4 Cd 2.99, 4 Mg 3.00
3 Cd 0.0000 0.0000 0.5000 [1 per cell]  2 Mg 2.82, 8 Al 2.99



[11]
DFT (meta-GGA SCAN) results for MnCd2Rh at its PBEsol-relaxed geometry.

Computed properties:
The formation energy comes out at -0.14 eV/atom. The crystal system is cubic. Its energy relative to the lowest polymorph listed for this composition is 0.053 eV per atom.

Lattice parameters (Å, degrees): 6.3829 6.3829 6.3829 90.00 90.00 90.00
Closest atoms and distances in Å follow each position.
Space group F-43m (No. 216)
Symmetry-distinct sites (fractional):
1 Mn 0.0000 0.0000 0.0000 [4 per cell]  4 Rh 2.76, 4 Cd 2.76
2 Cd 0.0000 0.0000 0.5000 [4 per cell]  4 Cd 2.76, 4 Rh 2.76
3 Cd 0.2500 0.2500 0.2500 [4 per cell]  4 Mn 2.76, 4 Cd 2.76
4 Rh 0.2500 0.2500 0.7500 [4 per cell]  4 Cd 2.76, 4 Mn 2.76



[12]
DFT (meta-GGA SCAN) results for GaHPd3 at its PBEsol-relaxed geometry.

Computed properties:
The crystal system is tetragonal. Its energy relative to the lowest polymorph listed for this composition is 0.000 eV per atom.

Lattice parameters (Å, degrees): 5.4899 5.4899 3.9797 90.00 90.00 90.00
Closest atoms and distances in Å follow each position.
Space group P4/mbm (No. 127)
Symmetry-distinct sites (fractional):
1 Ga 0.0000 0.5000 0.0000 [2 per cell]  8 Pd 2.56-2.74
2 H 0.0000 0.0000 0.5000 [2 per cell]  6 Pd 1.97-1.99
3 Pd 0.0000 0.0000 0.0000 [2 per cell]  2 H 1.99
4 Pd 0.2078 0.2922 0.5000 [4 per cell]  2 H 1.97



no.,total moment (μB per formula unit)
1,0.00
2,0.00
3,0.48
4,2.00
5,0.00
6,0.00
7,0.00
8,0.00
9,2.44
10,0.00
11,4.34
12,0.00